--- A ---
First-principles (PBE-GGA) data for a relaxed LaMo2Cl crystal, as listed in Alexandria.

Cell lengths 3.243, 8.015, 8.015 Å; angles 23.90, 90.00, 90.00 degrees
Positions (direct):
1 La 0.000 0.000 0.000
2 Mo 0.000 0.778 0.778
3 Mo 0.500 0.359 0.359
4 Cl 0.500 0.635 0.635

Calculated values
**D(E_F)**: 3.5 states/eV/f.u.

=====

--- B ---
First-principles (PBE-GGA) data for a relaxed LaMo2Cl crystal, as listed in Alexandria.

Cell lengths 3.183, 3.183, 9.122 Å; angles 90.00, 90.00, 115.85 degrees
Positions (direct):
1 La 0.000 0.000 0.000
2 Mo 0.000 0.000 0.524
3 Mo 0.500 0.500 0.718
4 Cl 0.500 0.500 0.265

Calculated values
**D(E_F)**: 2.8 states/eV/f.u.

=====

Last place for stability: B

=====

--- A ---
First-principles (PBE-GGA) data for a relaxed LaMo2Cl crystal, as listed in Alexandria.

Cell lengths 4.195, 4.195, 8.152 Å; angles 109.72, 109.72, 57.56 degrees
Positions (direct):
1 La 0.000 0.000 0.000
2 Mo 0.479 0.479 0.334
3 Mo 0.786 0.786 0.280
4 Cl 0.224 0.224 0.762

Calculated values
**D(E_F)**: 1.3 states/eV/f.u.

=====

--- B ---
First-principles (PBE-GGA) data for a relaxed LaMo2Cl crystal, as listed in Alexandria.

Cell lengths 3.114, 3.114, 8.951 Å; angles 90.00, 90.00, 118.54 degrees
Positions (direct):
1 La 0.000 0.000 0.000
2 Mo 0.500 0.500 0.263
3 Mo 0.500 0.500 0.737
4 Cl 0.000 0.000 0.500

Calculated values
**D(E_F)**: 4.6 states/eV/f.u.

=====

--- C ---
First-principles (PBE-GGA) data for a relaxed LaMo2Cl crystal, as listed in Alexandria.

Cell lengths 4.730, 4.730, 4.730 Å; angles 60.00, 60.00, 60.00 degrees
Positions (direct):
1 La 0.000 0.000 0.000
2 Mo 0.250 0.250 0.250
3 Mo 0.750 0.750 0.750
4 Cl 0.500 0.500 0.500

Calculated values
**D(E_F)**: 4.8 states/eV/f.u.

=====

Last place for stability: C

=====

--- A ---
First-principles (PBE-GGA) data for a relaxed LaMo2Cl crystal, as listed in Alexandria.

Cell lengths 3.353, 5.956, 4.579 Å; angles 90.00, 90.54, 90.00 degrees
Positions (direct):
1 La 0.000 0.000 0.000
2 Mo 0.251 0.500 0.189
3 Mo 0.749 0.500 0.811
4 Cl 0.500 0.000 0.500

Calculated values
**D(E_F)**: 3.8 states/eV/f.u.

=====

--- B ---
First-principles (PBE-GGA) data for a relaxed LaMo2Cl crystal, as listed in Alexandria.

Cell lengths 4.809, 4.809, 4.809 Å; angles 60.00, 60.00, 60.00 degrees
Positions (direct):
1 La 0.000 0.000 0.000
2 Mo 0.250 0.250 0.250
3 Mo 0.500 0.500 0.500
4 Cl 0.750 0.750 0.750

Calculated values
**D(E_F)**: 3.4 states/eV/f.u.

=====

Last place for stability: B

=====

--- A ---
First-principles (PBE-GGA) data for a relaxed LaMo2Cl crystal, as listed in Alexandria.

Cell lengths 6.396, 6.396, 4.379 Å; angles 110.01, 110.01, 31.03 degrees
Positions (direct):
1 La 0.000 0.000 0.000
2 Mo 0.278 0.278 0.340
3 Mo 0.722 0.722 0.660
4 Cl 0.500 0.500 0.500

Calculated values
**D(E_F)**: 3.6 states/eV/f.u.

=====

--- B ---
First-principles (PBE-GGA) data for a relaxed LaMo2Cl crystal, as listed in Alexandria.

Cell lengths 2.890, 2.890, 9.353 Å; angles 90.00, 90.00, 90.00 degrees
Positions (direct):
1 La 0.000 0.000 0.000
2 Mo 0.500 0.500 0.286
3 Mo 0.500 0.500 0.714
4 Cl 0.000 0.000 0.500

Calculated values
**D(E_F)**: 5.4 states/eV/f.u.

=====

Last place for stability: B

=====

--- A ---
First-principles (PBE-GGA) data for a relaxed LaMo2Cl crystal, as listed in Alexandria.

Cell lengths 5.644, 5.644, 5.644 Å; angles 144.69, 117.85, 73.55 degrees
Positions (direct):
1 La 0.000 0.000 0.000
2 Mo 0.494 0.494 0.000
3 Mo 0.679 0.179 0.500
4 Cl 0.270 0.770 0.500

Calculated values
**D(E_F)**: 2.8 states/eV/f.u.

=====

--- B ---
First-principles (PBE-GGA) data for a relaxed LaMo2Cl crystal, as listed in Alexandria.

Cell lengths 9.175, 9.175, 9.175 Å; angles 150.55, 150.55, 42.13 degrees
Positions (direct):
1 La 0.000 0.000 0.000
2 La 0.750 0.250 0.500
3 Mo 0.302 0.125 0.677
4 Mo 0.375 0.698 0.823
5 Mo 0.448 0.625 0.323
6 Mo 0.875 0.552 0.177
7 Cl 0.250 0.750 0.500
8 Cl 0.500 0.500 0.000

Calculated values
**D(E_F)**: 4.0 states/eV/f.u.

=====

--- C ---
First-principles (PBE-GGA) data for a relaxed LaMo2Cl crystal, as listed in Alexandria.

Cell lengths 6.382, 6.382, 3.368 Å; angles 105.20, 105.20, 129.47 degrees
Positions (direct):
1 La 0.000 0.000 0.000
2 Mo 0.000 0.500 0.000
3 Mo 0.500 0.000 0.000
4 Cl 0.500 0.500 0.000

Calculated values
**D(E_F)**: 4.1 states/eV/f.u.

=====

Last place for stability: B

=====

--- A ---
First-principles (PBE-GGA) data for a relaxed LaMoCl2 crystal, as listed in Alexandria.

Cell lengths 6.911, 6.911, 4.969 Å; angles 91.15, 91.15, 31.06 degrees
Positions (direct):
1 La 0.000 0.000 0.000
2 Mo 0.500 0.500 0.500
3 Cl 0.348 0.348 0.771
4 Cl 0.652 0.652 0.229

Calculated values
**D(E_F)**: 1.1 states/eV/f.u.

=====

--- B ---
First-principles (PBE-GGA) data for a relaxed LaMoCl2 crystal, as listed in Alexandria.

Cell lengths 5.246, 5.246, 5.246 Å; angles 126.38, 126.38, 79.26 degrees
Positions (direct):
1 La 0.000 0.000 0.000
2 Mo 0.500 0.500 0.000
3 Cl 0.250 0.750 0.500
4 Cl 0.750 0.250 0.500

Calculated values
**D(E_F)**: 2.9 states/eV/f.u.

=====

--- C ---
First-principles (PBE-GGA) data for a relaxed LaMoCl2 crystal, as listed in Alexandria.

Cell lengths 4.211, 4.209, 4.944 Å; angles 90.00, 95.21, 90.00 degrees
Positions (direct):
1 La 0.000 0.000 0.000
2 Mo 0.500 0.000 0.500
3 Cl 0.297 0.500 0.714
4 Cl 0.703 0.500 0.286

Calculated values
**D(E_F)**: 3.2 states/eV/f.u.

=====

--- D ---
First-principles (PBE-GGA) data for a relaxed LaMoCl2 crystal, as listed in Alexandria.

Cell lengths 4.601, 4.601, 4.155 Å; angles 90.00, 90.00, 90.00 degrees
Positions (direct):
1 La 0.000 0.000 0.000
2 Mo 0.500 0.500 0.000
3 Cl 0.000 0.500 0.500
4 Cl 0.500 0.000 0.500

Calculated values
**D(E_F)**: 2.4 states/eV/f.u.

=====

Last place for stability: B

=====

--- A ---
First-principles (PBE-GGA) data for a relaxed LaMoCl2 crystal, as listed in Alexandria.

Cell lengths 5.174, 5.174, 5.174 Å; angles 60.00, 60.00, 60.00 degrees
Positions (direct):
1 La 0.000 0.000 0.000
2 Mo 0.750 0.750 0.750
3 Cl 0.250 0.250 0.250
4 Cl 0.500 0.500 0.500

Calculated values
**D(E_F)**: 3.9 states/eV/f.u.

=====

--- B ---
First-principles (PBE-GGA) data for a relaxed LaMoCl2 crystal, as listed in Alexandria.

Cell lengths 3.506, 3.506, 10.070 Å; angles 90.00, 90.00, 90.00 degrees
Positions (direct):
1 La 0.000 0.000 0.000
2 Mo 0.000 0.000 0.500
3 Cl 0.500 0.500 0.163
4 Cl 0.500 0.500 0.837

Calculated values
**D(E_F)**: 1.7 states/eV/f.u.

=====

--- C ---
First-principles (PBE-GGA) data for a relaxed LaMoCl2 crystal, as listed in Alexandria.

Cell lengths 3.529, 4.566, 5.829 Å; angles 90.00, 107.49, 90.00 degrees
Positions (direct):
1 La 0.000 0.000 0.000
2 Mo 0.639 0.500 0.281
3 Cl 0.414 0.500 0.827
4 Cl 0.712 0.000 0.426

Calculated values
**D(E_F)**: 3.7 states/eV/f.u.

=====

Last place for stability: A

=====

--- A ---
First-principles (PBE-GGA) data for a relaxed La2MoCl crystal, as listed in Alexandria.

Cell lengths 3.528, 3.528, 8.328 Å; angles 90.00, 90.00, 90.00 degrees
Positions (direct):
1 La 0.000 0.000 0.221
2 La 0.000 0.000 0.779
3 Mo 0.500 0.500 0.000
4 Cl 0.500 0.500 0.500

Calculated values
**D(E_F)**: 5.1 states/eV/f.u.

=====

--- B ---
First-principles (PBE-GGA) data for a relaxed La2MoCl crystal, as listed in Alexandria.

Cell lengths 5.164, 5.164, 5.164 Å; angles 60.00, 60.00, 60.00 degrees
Positions (direct):
1 La 0.000 0.000 0.000
2 La 0.250 0.250 0.250
3 Mo 0.500 0.500 0.500
4 Cl 0.750 0.750 0.750

Calculated values
**D(E_F)**: 5.7 states/eV/f.u.

=====

Last place for stability: B

=====

--- A ---
First-principles (PBE-GGA) data for a relaxed LaMoP2Cl crystal, as listed in Alexandria.

Cell lengths 4.681, 4.681, 4.928 Å; angles 90.00, 90.00, 90.00 degrees
Positions (direct):
1 La 0.000 0.000 0.000
2 Mo 0.500 0.500 0.500
3 P 0.000 0.500 0.500
4 P 0.500 0.000 0.500
5 Cl 0.500 0.500 0.000

Calculated values
**D(E_F)**: 3.2 states/eV/f.u.

=====

--- B ---
First-principles (PBE-GGA) data for a relaxed LaMoP2Cl crystal, as listed in Alexandria.

Cell lengths 5.554, 5.554, 5.317 Å; angles 90.00, 90.00, 90.00 degrees
Positions (direct):
1 La 0.000 0.000 0.000
2 Mo 0.500 0.500 0.500
3 P 0.000 0.500 0.000
4 P 0.500 0.000 0.000
5 Cl 0.000 0.000 0.500

Calculated values
**D(E_F)**: 4.2 states/eV/f.u.

=====

Last place for stability: B

=====

--- A ---
First-principles (PBE-GGA) data for a relaxed LaMoSCl2 crystal, as listed in Alexandria.

Cell lengths 4.805, 4.805, 4.761 Å; angles 90.00, 90.00, 90.00 degrees
Positions (direct):
1 La 0.000 0.000 0.000
2 Mo 0.500 0.500 0.500
3 S 0.500 0.500 0.000
4 Cl 0.000 0.500 0.500
5 Cl 0.500 0.000 0.500

Calculated values
**D(E_F)**: 4.7 states/eV/f.u.

=====

--- B ---
First-principles (PBE-GGA) data for a relaxed LaMoSCl2 crystal, as listed in Alexandria.

Cell lengths 5.515, 5.515, 5.568 Å; angles 90.00, 90.00, 90.00 degrees
Positions (direct):
1 La 0.000 0.000 0.000
2 Mo 0.500 0.500 0.500
3 S 0.000 0.000 0.500
4 Cl 0.000 0.500 0.000
5 Cl 0.500 0.000 0.000

Calculated values
**D(E_F)**: 0.9 states/eV/f.u.

=====

Last place for stability: B

=====

--- A ---
First-principles (PBE-GGA) data for a relaxed La4N2Cl crystal, as listed in Alexandria.

Cell lengths 14.166, 14.166, 14.166 Å; angles 15.10, 15.10, 15.10 degrees
Positions (direct):
1 La 0.120 0.120 0.120
2 La 0.280 0.280 0.280
3 La 0.720 0.720 0.720
4 La 0.880 0.880 0.880
5 N 0.420 0.420 0.420
6 N 0.580 0.580 0.580
7 Cl 0.000 0.000 0.000

Calculated values
**D(E_F)**: 3.6 states/eV/f.u.

=====

--- B ---
First-principles (PBE-GGA) data for a relaxed La4N2Cl crystal, as listed in Alexandria.

Cell lengths 7.544, 7.544, 9.304 Å; angles 126.81, 126.81, 59.42 degrees
Positions (direct):
1 La 0.005 0.005 0.319
2 La 0.053 0.561 0.866
3 La 0.439 0.947 0.134
4 La 0.465 0.521 0.696
5 La 0.479 0.535 0.304
6 La 0.520 0.076 0.856
7 La 0.924 0.480 0.144
8 La 0.995 0.995 0.681
9 N 0.235 0.260 0.003
10 N 0.244 0.756 0.500
11 N 0.497 0.503 0.000
12 N 0.740 0.765 0.997
13 Cl 0.501 0.021 0.509
14 Cl 0.979 0.499 0.491

Calculated values
**D(E_F)**: 5.7 states/eV/f.u.

=====

Last place for stability: B

=====

--- A ---
First-principles (PBE-GGA) data for a relaxed La4N2Cl5 crystal, as listed in Alexandria.

Cell lengths 9.953, 9.953, 7.461 Å; angles 100.16, 100.16, 22.39 degrees
Positions (direct):
1 La 0.054 0.054 0.217
2 La 0.368 0.368 0.158
3 La 0.632 0.632 0.842
4 La 0.946 0.946 0.783
5 N 0.061 0.061 0.904
6 N 0.939 0.939 0.096
7 Cl 0.161 0.161 0.569
8 Cl 0.206 0.206 0.132
9 Cl 0.500 0.500 0.500
10 Cl 0.794 0.794 0.868
11 Cl 0.839 0.839 0.431

Calculated values
**D(E_F)**: 1.1 states/eV/f.u.

=====

--- B ---
First-principles (PBE-GGA) data for a relaxed La4N2Cl5 crystal, as listed in Alexandria.

Cell lengths 9.677, 9.677, 9.677 Å; angles 157.45, 130.72, 54.84 degrees
Positions (direct):
1 La 0.176 0.176 0.000
2 La 0.209 0.500 0.709
3 La 0.791 0.500 0.291
4 La 0.824 0.824 0.000
5 N 0.040 0.040 0.000
6 N 0.960 0.960 0.000
7 Cl 0.119 0.333 0.786
8 Cl 0.453 0.667 0.786
9 Cl 0.500 0.000 0.500
10 Cl 0.547 0.333 0.214
11 Cl 0.881 0.667 0.214

Calculated values
**D(E_F)**: 5.8 states/eV/f.u.

=====

Last place for stability: B